Computed, not measured: a relaxed Cs2TbAuI6 crystal at the PBE-GGA level of DFT.

## Properties
- Theoretical density: 4.8 Mg/m³
- Raw formation energy: -1.175 eV per atom

The structure in POSCAR format:
```
Cs2TbAuI6
1.0
8.420 0.000 0.000
-1.768 8.408 0.000
-3.325 -4.194 6.795
Cs Tb Au I
2 1 1 6
Direct
0.249 0.249 0.498 Cs
0.751 0.751 0.502 Cs
0.000 0.500 0.000 Tb
0.500 0.000 0.000 Au
0.194 0.857 0.000 I
0.223 0.723 0.448 I
0.284 0.341 0.000 I
0.716 0.659 0.000 I
0.777 0.277 0.552 I
0.806 0.143 0.000 I
```